Ba3TaMn2O8 | Alexandria via LeMat-Bulk | GGA+U | relaxed; spin magnetization = 9.0 μB/cell; calculated density = 5.96 g/cm3; energy = -105.3 eV/f.u.
1.0
-1.540 -5.727 -0.014
5.542 1.584 -1.396
1.998 -0.556 7.305
Ba Ta Mn O
3 1 2 8
Direct
0.333 0.667 0.652
0.667 0.333 0.348
0.000 0.000 0.000
0.000 0.000 0.500
0.333 0.667 0.216
0.667 0.333 0.784
0.333 0.667 0.972
0.667 0.333 0.028
0.158 0.842 0.343
0.842 0.158 0.657
0.158 0.316 0.343
0.842 0.684 0.657
0.684 0.842 0.343
0.316 0.158 0.657